This record from the Alexandria database describes an optimized crystal structure of Rb2NpAuSe4. The functional is GGA-PBE.

Cell: 14.562 12.994 8.016 Å, 84.20 62.59 33.20°
Sites, in units of the cell vectors:
Rb  0.056  0.056  0.694
Rb  0.306  0.306  0.944
Rb  0.694  0.694  0.056
Rb  0.944  0.944  0.306
Np  0.125  0.125  0.125
Np  0.875  0.875  0.875
Au  0.375  0.375  0.375
Au  0.625  0.625  0.625
Se  0.037  0.321  0.430
Se  0.288  0.570  0.679
Se  0.321  0.037  0.712
Se  0.430  0.712  0.037
Se  0.570  0.288  0.963
Se  0.679  0.963  0.288
Se  0.712  0.430  0.321
Se  0.963  0.679  0.570

Calculated values
The calculation puts the raw total energy at -4.7573 eV per atom. The energy relative to the elements, uncorrected is -0.75 eV/atom. The space group is Fddd.